## LiMg2Se (PBEsol)

Data for a relaxed LiMg2Se crystal.

```
data_LiMg2Se
_symmetry_space_group_name_H-M 'C 1 m 1'
_symmetry_Int_Tables_number 8
_symmetry_space_group_name_Hall 'C -2y'
_cell_length_a 8.407
_cell_length_b 3.576
_cell_length_c 6.349
_cell_angle_alpha 90.00
_cell_angle_beta 109.85
_cell_angle_gamma 90.00
loop_
_atom_site_label
_atom_site_fract_x
_atom_site_fract_y
_atom_site_fract_z
Li1 0.000 0.000 0.000
Mg1 0.141 0.000 0.603
Mg2 0.349 0.000 0.306
Se1 0.195 0.500 0.948
```

***

## LiMg2Se (PBEsol)

Data for a relaxed LiMg2Se crystal.

```
data_LiMg2Se
_symmetry_space_group_name_H-M 'I 4/m m m'
_symmetry_Int_Tables_number 139
_symmetry_space_group_name_Hall '-I 4 2'
_cell_length_a 4.023
_cell_length_b 4.023
_cell_length_c 9.611
_cell_angle_alpha 90.00
_cell_angle_beta 90.00
_cell_angle_gamma 90.00
loop_
_atom_site_label
_atom_site_fract_x
_atom_site_fract_y
_atom_site_fract_z
Li1 0.000 0.000 0.000
Mg1 0.000 0.500 0.250
Se1 0.000 0.000 0.500
```

***

## LiMgSe2 (PBEsol)

Data for a relaxed LiMgSe2 crystal.

```
data_LiMgSe2
_symmetry_space_group_name_H-M 'I 4/m m m'
_symmetry_Int_Tables_number 139
_symmetry_space_group_name_Hall '-I 4 2'
_cell_length_a 4.637
_cell_length_b 4.637
_cell_length_c 6.955
_cell_angle_alpha 90.00
_cell_angle_beta 90.00
_cell_angle_gamma 90.00
loop_
_atom_site_label
_atom_site_fract_x
_atom_site_fract_y
_atom_site_fract_z
Li1 0.000 0.000 0.000
Mg1 0.000 0.000 0.500
Se1 0.000 0.500 0.250
```

***

# Li2MgSe | Alexandria | PBEsol | relaxed
# Energy above the most stable polymorph in this dataset   0.036 eV per atom
data_Li2MgSe
_symmetry_space_group_name_H-M 'P 4/m m m'
_symmetry_Int_Tables_number 123
_symmetry_space_group_name_Hall '-P 4 2'
_cell_length_a 3.547
_cell_length_b 3.547
_cell_length_c 5.685
_cell_angle_alpha 90.00
_cell_angle_beta 90.00
_cell_angle_gamma 90.00
loop_
_atom_site_label
_atom_site_fract_x
_atom_site_fract_y
_atom_site_fract_z
Li1 0.000 0.000 0.205
Mg1 0.500 0.500 0.500
Se1 0.500 0.500 0.000

***

# Li2MgSe | Alexandria | PBEsol | relaxed
# Energy above the most stable polymorph in this dataset   0.000 eV per atom
data_Li2MgSe
_symmetry_space_group_name_H-M 'P 4/m m m'
_symmetry_Int_Tables_number 123
_symmetry_space_group_name_Hall '-P 4 2'
_cell_length_a 4.155
_cell_length_b 4.155
_cell_length_c 3.962
_cell_angle_alpha 90.00
_cell_angle_beta 90.00
_cell_angle_gamma 90.00
loop_
_atom_site_label
_atom_site_fract_x
_atom_site_fract_y
_atom_site_fract_z
Li1 0.000 0.500 0.000
Mg1 0.000 0.000 0.500
Se1 0.500 0.500 0.500

***

## Li2Mg2Se (PBEsol)

Data for a relaxed Li2Mg2Se crystal.

```
data_Li2Mg2Se
_symmetry_space_group_name_H-M 'P 4/m b m'
_symmetry_Int_Tables_number 127
_symmetry_space_group_name_Hall '-P 4 2ab'
_cell_length_a 6.395
_cell_length_b 6.395
_cell_length_c 4.854
_cell_angle_alpha 90.00
_cell_angle_beta 90.00
_cell_angle_gamma 90.00
loop_
_atom_site_label
_atom_site_fract_x
_atom_site_fract_y
_atom_site_fract_z
Li1 0.152 0.348 0.000
Mg1 0.168 0.668 0.500
Se1 0.000 0.000 0.000
```

***

## LiMg2Se (PBEsol)

Data for a relaxed LiMg2Se crystal.

```
data_LiMg2Se
_symmetry_space_group_name_H-M 'I -4 2 d'
_symmetry_Int_Tables_number 122
_symmetry_space_group_name_Hall 'I -4 2bw'
_cell_length_a 8.853
_cell_length_b 8.853
_cell_length_c 4.996
_cell_angle_alpha 90.00
_cell_angle_beta 90.00
_cell_angle_gamma 90.00
loop_
_atom_site_label
_atom_site_fract_x
_atom_site_fract_y
_atom_site_fract_z
Li1 0.000 0.000 0.000
Mg1 0.160 0.250 0.625
Se1 0.000 0.000 0.500
```

***

## Li14MgSi4 (PBEsol)

Data for a relaxed Li14MgSi4 crystal.

```
data_Li14MgSi4
_symmetry_space_group_name_H-M 'I -4 2 d'
_symmetry_Int_Tables_number 122
_symmetry_space_group_name_Hall 'I -4 2bw'
_cell_length_a 10.548
_cell_length_b 10.548
_cell_length_c 10.580
_cell_angle_alpha 90.00
_cell_angle_beta 90.00
_cell_angle_gamma 90.00
loop_
_atom_site_label
_atom_site_fract_x
_atom_site_fract_y
_atom_site_fract_z
Li1 0.037 0.629 0.021
Li2 0.097 0.624 0.664
Li3 0.124 0.250 0.625
Li4 0.157 0.217 0.998
Mg1 0.000 0.000 0.000
Si1 0.041 0.704 0.418
```

***

## Li3MgSi (PBEsol)

Data for a relaxed Li3MgSi crystal.

```
data_Li3MgSi
_symmetry_space_group_name_H-M 'P m -3 m'
_symmetry_Int_Tables_number 221
_symmetry_space_group_name_Hall '-P 4 2 3'
_cell_length_a 4.716
_cell_length_b 4.716
_cell_length_c 4.716
_cell_angle_alpha 90.00
_cell_angle_beta 90.00
_cell_angle_gamma 90.00
loop_
_atom_site_label
_atom_site_fract_x
_atom_site_fract_y
_atom_site_fract_z
Li1 0.000 0.000 0.500
Mg1 0.500 0.500 0.500
Si1 0.000 0.000 0.000
```

***

## Li12Mg3Si4 (PBEsol)

Data for a relaxed Li12Mg3Si4 crystal.

```
data_Li12Mg3Si4
_symmetry_space_group_name_H-M 'I -4 3 d'
_symmetry_Int_Tables_number 220
_symmetry_space_group_name_Hall 'I -4bd 2c 3'
_cell_length_a 10.597
_cell_length_b 10.597
_cell_length_c 10.597
_cell_angle_alpha 90.00
_cell_angle_beta 90.00
_cell_angle_gamma 90.00
loop_
_atom_site_label
_atom_site_fract_x
_atom_site_fract_y
_atom_site_fract_z
Li1 0.037 0.119 0.651
Mg1 0.000 0.250 0.875
Si1 0.047 0.047 0.047
```

***

| no. | ΔE_f (raw) (meV per atom) | DFT total energy (eV per atom) | D(E_F) (states/eV per cell) |
| --- | --- | --- | --- |
| 1 | -510 | -2.82 | 1.777 |
| 2 | -385 | -2.70 | 3.101 |
| 3 | -764 | -3.61 | 3.475 |
| 4 | -631 | -3.01 | 0.577 |
| 5 | -667 | -3.04 | 0.320 |
| 6 | -354 | -2.60 | 4.444 |
| 7 | -415 | -2.73 | 5.379 |
| 8 | -261 | -3.01 | 5.228 |
| 9 | 133 | -2.54 | 1.292 |
| 10 | -245 | -2.97 | 10.739 |